Model one:
# Tb2PmDy3 GGA-PBE optimized geometry
data_Tb2PmDy3
_space_group_name_H-M_alt 'P -1'
_space_group_IT_number 2
_cell_length_a 7.180
_cell_length_b 7.187
_cell_length_c 8.860
_cell_angle_alpha 78.20
_cell_angle_beta 78.23
_cell_angle_gamma 60.13
loop_
_space_group_symop_operation_xyz
'x,y,z'
'-x,-y,-z'
loop_
_atom_site_label
_atom_site_type_symbol
_atom_site_fract_x
_atom_site_fract_y
_atom_site_fract_z
_atom_site_occupancy
Tb1 Tb 0.139 0.138 0.166 1
Tb2 Tb 0.361 0.861 0.835 1
Pm1 Pm 0.250 0.250 0.501 1
Dy1 Dy 0.140 0.638 0.165 1
Dy2 Dy 0.250 0.750 0.500 1
Dy3 Dy 0.361 0.362 0.834 1
# Total moment: 0.00 μB per atom
# Crystal system: triclinic


Model two:
# Tb2PmDy3 GGA-PBE optimized geometry
data_Tb2PmDy3
_space_group_name_H-M_alt 'C 1 2/m 1'
_space_group_IT_number 12
_cell_length_a 22.032
_cell_length_b 3.641
_cell_length_c 11.355
_cell_angle_alpha 90.00
_cell_angle_beta 121.00
_cell_angle_gamma 90.00
loop_
_space_group_symop_operation_xyz
'x,y,z'
'-x,-y,-z'
'-x,y,-z'
'x,-y,z'
'x+1/2,y+1/2,z'
'-x+1/2,-y+1/2,-z'
'-x+1/2,y+1/2,-z'
'x+1/2,-y+1/2,z'
loop_
_atom_site_label
_atom_site_type_symbol
_atom_site_fract_x
_atom_site_fract_y
_atom_site_fract_z
_atom_site_occupancy
Tb1 Tb 0.056 0.000 0.184 1
Tb2 Tb 0.223 0.500 0.349 1
Pm1 Pm 0.111 0.500 0.986 1
Dy1 Dy 0.055 0.000 0.678 1
Dy2 Dy 0.111 0.500 0.487 1
Dy3 Dy 0.221 0.500 0.846 1
# Total moment: 0.00 μB per atom
# Crystal system: monoclinic


Relative calculated energies, zero for the most stable structure, unit meV per atom: model one 0; model two 17.